1.
The following is a DFT calculation (PBEsol) of a relaxed structure of CaLa2Pb2.

Computed properties:
- Total magnetization: 0.0 μB/f.u.
- Energy relative to the elements: -0.6220 eV/atom
- Space-group type: P4/mbm, No. 127

a = 8.2778 Å, b = 8.2778 Å, c = 4.7019 Å
α = 90.00°, β = 90.00°, γ = 90.00°
Closest atoms and distances in Å follow each position.
Element x y z (fractional)
Ca 0.0000 0.0000 0.0000  4 Pb 3.25
Ca 0.5000 0.5000 0.0000  4 Pb 3.25
La 0.1737 0.3263 0.5000  6 Pb 3.30-3.45
La 0.3263 0.8263 0.5000  6 Pb 3.30-3.45
La 0.6737 0.1737 0.5000  6 Pb 3.30-3.45
La 0.8263 0.6737 0.5000  6 Pb 3.30-3.45
Pb 0.1284 0.6284 0.0000  1 Pb 3.01, 2 Ca 3.25, 2 La 3.30
Pb 0.3716 0.1284 0.0000  1 Pb 3.01, 2 Ca 3.25, 2 La 3.30
Pb 0.6284 0.8716 0.0000  1 Pb 3.01, 2 Ca 3.25, 2 La 3.30
Pb 0.8716 0.3716 0.0000  1 Pb 3.01, 2 Ca 3.25, 2 La 3.30



2.
The following is a DFT calculation (PBEsol) of a relaxed structure of CuRu2W.

Computed properties:
- Total magnetization: 0.0 μB/f.u.
- Energy relative to the elements: 0.1087 eV/atom
- Relative energy among the computed polymorphs: 0 meV/atom
- Space-group type: Fm-3m, No. 225

a = 6.0109 Å, b = 6.0109 Å, c = 6.0109 Å
α = 90.00°, β = 90.00°, γ = 90.00°
Closest atoms and distances in Å follow each position.
Element x y z (fractional)
Cu 0.0000 0.0000 0.0000  8 Ru 2.60
Cu 0.0000 0.5000 0.5000  8 Ru 2.60
Cu 0.5000 0.0000 0.5000  8 Ru 2.60
Cu 0.5000 0.5000 0.0000  8 Ru 2.60
Ru 0.2500 0.2500 0.2500  4 W 2.60, 4 Cu 2.60
Ru 0.2500 0.2500 0.7500  4 W 2.60, 4 Cu 2.60
Ru 0.2500 0.7500 0.2500  4 W 2.60, 4 Cu 2.60
Ru 0.2500 0.7500 0.7500  4 W 2.60, 4 Cu 2.60
Ru 0.7500 0.2500 0.2500  4 W 2.60, 4 Cu 2.60
Ru 0.7500 0.2500 0.7500  4 W 2.60, 4 Cu 2.60
Ru 0.7500 0.7500 0.2500  4 W 2.60, 4 Cu 2.60
Ru 0.7500 0.7500 0.7500  4 W 2.60, 4 Cu 2.60
W 0.0000 0.0000 0.5000  8 Ru 2.60
W 0.0000 0.5000 0.0000  8 Ru 2.60
W 0.5000 0.0000 0.0000  8 Ru 2.60
W 0.5000 0.5000 0.5000  8 Ru 2.60



3.
The following is a DFT calculation (PBEsol) of a relaxed structure of AlAg2Br.

Computed properties:
- Total magnetization: 0.0 μB/f.u.
- Relative energy among the computed polymorphs: 0 meV/atom
- Space-group type: Cmmm, No. 65

a = 3.6309 Å, b = 5.3163 Å, c = 8.0152 Å
α = 90.00°, β = 90.00°, γ = 90.00°
Closest atoms and distances in Å follow each position.
Element x y z (fractional)
Al 0.0000 0.0000 0.0000  4 Ag 2.60
Al 0.5000 0.5000 0.0000  4 Ag 2.60
Ag 0.0000 0.5000 0.2326  2 Al 2.60, 2 Br 2.81
Ag 0.0000 0.5000 0.7674  2 Al 2.60, 2 Br 2.81
Ag 0.5000 0.0000 0.2326  2 Al 2.60, 2 Br 2.81
Ag 0.5000 0.0000 0.7674  2 Al 2.60, 2 Br 2.81
Br 0.0000 0.0000 0.5000  4 Ag 2.81
Br 0.5000 0.5000 0.5000  4 Ag 2.81



4.
The following is a DFT calculation (PBEsol) of a relaxed structure of KCd2CO.

Computed properties:
- Total magnetization: 1.0 μB/f.u.
- Total DFT energy (no corrections): -15.55 eV/cell
- Space-group type: P4/mmm, No. 123

a = 4.2057 Å, b = 4.2057 Å, c = 5.6741 Å
α = 90.00°, β = 90.00°, γ = 90.00°
Closest atoms and distances in Å follow each position.
Element x y z (fractional)
K 0.0000 0.0000 0.0000  2 C 2.84, 4 O 2.97
Cd 0.0000 0.5000 0.5000  2 C 2.10
Cd 0.5000 0.0000 0.5000  2 C 2.10
C 0.0000 0.0000 0.5000  4 Cd 2.10
O 0.5000 0.5000 0.0000  4 K 2.97



5.
The following is a DFT calculation (PBEsol) of a relaxed structure of LiZr2RhPb.

Computed properties:
- Total magnetization: 0.0 μB/f.u.
- Energy relative to the elements: 0.3200 eV/atom
- Space-group type: P4/mmm, No. 123

a = 4.6776 Å, b = 4.6776 Å, c = 4.2453 Å
α = 90.00°, β = 90.00°, γ = 90.00°
Closest atoms and distances in Å follow each position.
Element x y z (fractional)
Li 0.0000 0.0000 0.0000  2 Rh 2.12, 4 Zr 2.34
Zr 0.0000 0.5000 0.0000  2 Li 2.34
Zr 0.5000 0.0000 0.0000  2 Li 2.34
Rh 0.0000 0.0000 0.5000  2 Li 2.12
Pb 0.5000 0.5000 0.5000  8 Zr 3.16, 4 Rh 3.31



6.
The following is a DFT calculation (PBEsol) of a relaxed structure of TlMo3N.

Computed properties:
- Total magnetization: 0.0 μB/f.u.
- Relative energy among the computed polymorphs: 0 meV/atom
- Space-group type: Pm-3m, No. 221

a = 4.1493 Å, b = 4.1493 Å, c = 4.1493 Å
α = 90.00°, β = 90.00°, γ = 90.00°
Closest atoms and distances in Å follow each position.
Element x y z (fractional)
Tl 0.0000 0.0000 0.0000  12 Mo 2.93
Mo 0.0000 0.5000 0.5000  2 N 2.07
Mo 0.5000 0.0000 0.5000  2 N 2.07
Mo 0.5000 0.5000 0.0000  2 N 2.07
N 0.5000 0.5000 0.5000  6 Mo 2.07